Entry 1:
CsTc2O8 PBE optimized geometry; spin magnetization = 3.28 Bohr magnetons per cell; ΔE to the lowest computed polymorph = 697 meV/atom; uncorrected formation energy = -619 meV per atom; E = -68.06 eV per formula unit
1.0
4.7167 0.0000 0.0000
0.0000 4.7167 0.0000
0.0000 0.0000 7.5830
Cs Tc O
1 2 8
Direct
0.0000 0.0000 0.0000
0.0000 0.5000 0.5000
0.5000 0.0000 0.5000
0.2504 0.2504 0.3457
0.2504 0.2504 0.6543
0.2504 0.7496 0.3457
0.2504 0.7496 0.6543
0.7496 0.2504 0.3457
0.7496 0.2504 0.6543
0.7496 0.7496 0.3457
0.7496 0.7496 0.6543

Entry 2:
CoRu2Br PBE optimized geometry; spin magnetization = 3.05 Bohr magnetons per cell; ΔE to the lowest computed polymorph = 225 meV/atom; uncorrected formation energy = 771 meV per atom; E = -24.25 eV per formula unit
1.0
8.2448 0.0000 0.0000
0.0000 2.9099 0.0000
-0.9637 0.0000 4.9668
Co Ru Br
2 4 2
Direct
0.0000 0.0000 0.0000
0.5000 0.5000 0.0000
0.2434 0.5000 0.2133
0.2566 0.0000 0.7867
0.7434 0.0000 0.2133
0.7566 0.5000 0.7867
0.0000 0.5000 0.5000
0.5000 0.0000 0.5000

- Which of these has the highest ΔE to the lowest computed polymorph?
  CsTc2O8